Below is a geometry-optimized Na3Pu3GaO8 structure, with properties calculated at the PBE level.

Output
raw formation energy = -2.31 eV per atom
size of the total moment = 14.00 μB per formula unit
density = 7.43 g/cm3
D(E_F) = 17.3 states/eV/cell
VASP energy = -124.240 eV/cell

Lattice parameters (Å, degrees): 6.8228 6.8228 6.8228 59.72 59.72 59.72
Positions (direct):
Na 0.0000 0.5000 0.5000
Na 0.5000 0.0000 0.5000
Na 0.5000 0.5000 0.0000
Pu 0.0000 0.0000 0.5000
Pu 0.0000 0.5000 0.0000
Pu 0.5000 0.0000 0.0000
Ga 0.5000 0.5000 0.5000
O 0.2393 0.2393 0.2393
O 0.2596 0.7180 0.7180
O 0.2820 0.2820 0.7404
O 0.2820 0.7404 0.2820
O 0.7180 0.2596 0.7180
O 0.7180 0.7180 0.2596
O 0.7404 0.2820 0.2820
O 0.7607 0.7607 0.7607